The following is a PBE-GGA calculation of crystalline RbMnI3 at its relaxed geometry, from Alexandria.

Calculated values
Its total energy is -19.075 eV/f.u. Its symmetry is C2/c, No. 15.

Geometry as CIF:
```
data_RbMnI3
_space_group_name_H-M_alt 'P 1'
_space_group_IT_number 1
_space_group_name_Hall 'P 1'
_cell_length_a 11.151
_cell_length_b 11.151
_cell_length_c 8.328
_cell_angle_alpha 98.99
_cell_angle_beta 98.99
_cell_angle_gamma 87.81
loop_
_atom_site_label
_atom_site_fract_x
_atom_site_fract_y
_atom_site_fract_z
Rb1 0.101 0.899 0.750
Rb2 0.317 0.683 0.250
Rb3 0.683 0.317 0.750
Rb4 0.899 0.101 0.250
Mn1 0.204 0.374 0.739
Mn2 0.374 0.204 0.239
Mn3 0.626 0.796 0.761
Mn4 0.796 0.626 0.261
I1 0.023 0.216 0.680
I2 0.125 0.593 0.854
I3 0.216 0.023 0.180
I4 0.311 0.397 0.465
I5 0.397 0.311 0.965
I6 0.407 0.875 0.646
I7 0.593 0.125 0.354
I8 0.603 0.689 0.035
I9 0.689 0.603 0.535
I10 0.784 0.977 0.820
I11 0.875 0.407 0.146
I12 0.977 0.784 0.320
```